(1)
Below is a relaxed structure of Ca2ZnIr, with properties calculated at the PBE level.

- size of the total moment (μB/cell) = 0.0
- electronic total energy (eV/f.u.) = -13.8
- space group = P2/m (10)
- energy of formation from the pure elements (eV per atom) = 0.091

a = 4.972 Å, b = 3.301 Å, c = 5.780 Å
α = 90.00°, β = 90.94°, γ = 90.00°
Atoms (fractional coordinates):
Ca 0.000 0.000 0.000
Ca 0.500 0.500 0.500
Zn 0.000 0.000 0.500
Ir 0.500 0.500 0.000

=====

(2)
Below is a relaxed structure of Pm8Sn2Ir, with properties calculated at the PBE level.

- size of the total moment (μB/cell) = 0.0
- electronic total energy (eV/f.u.) = -59.8
- space group = C2/m (12)
- energy of formation from the pure elements (eV per atom) = -0.447

a = 10.200 Å, b = 10.200 Å, c = 6.901 Å
α = 104.85°, β = 104.85°, γ = 28.77°
Atoms (fractional coordinates):
Pm 0.017 0.017 0.286
Pm 0.217 0.217 0.821
Pm 0.354 0.354 0.502
Pm 0.409 0.409 0.039
Pm 0.591 0.591 0.961
Pm 0.646 0.646 0.498
Pm 0.783 0.783 0.179
Pm 0.983 0.983 0.714
Sn 0.181 0.181 0.252
Sn 0.819 0.819 0.748
Ir 0.500 0.500 0.500

=====

> The highest energy of formation from the pure elements belongs to which entry?

Ca2ZnIr